# SmUMoO6

A geometry-optimized SmUMoO6 structure (PBE+U, Alexandria).

Values from the calculation:
The raw total energy comes out at -8.5658 eV/atom.

abc: 5.793 5.793 8.821
angles: 90.00 90.00 120.00
Positions (direct):
Sm: 0.333 0.667 0.250
Sm: 0.667 0.333 0.750
U: 0.333 0.667 0.750
U: 0.667 0.333 0.250
Mo: 0.000 0.000 0.000
Mo: 0.000 0.000 0.500
O: 0.033 0.347 0.627
O: 0.033 0.686 0.873
O: 0.314 0.347 0.873
O: 0.314 0.967 0.627
O: 0.347 0.033 0.127
O: 0.347 0.314 0.373
O: 0.653 0.686 0.627
O: 0.653 0.967 0.873
O: 0.686 0.033 0.373
O: 0.686 0.653 0.127
O: 0.967 0.314 0.127
O: 0.967 0.653 0.373